A plane-wave DFT calculation with PBE-GGA was carried out for an optimized crystal structure of RbMg3.

Unit cell a=11.576 b=11.576 c=11.576 alpha=18.03 beta=18.03 gamma=18.03
Atoms (fractional coordinates):
Mg 0.235 0.235 0.235
Rb 0.000 0.000 0.000
Mg 0.765 0.765 0.765
Mg 0.500 0.500 0.500

Output
For the offset from the most stable computed form, the calculation gives 0.111 eV per atom. The formation energy comes out at 297.6 meV/atom. The value obtained for the volume is 32.43 A^3/atom.

A plane-wave DFT calculation with PBE-GGA was carried out for an optimized crystal structure of RbMg2.

Unit cell a=7.118 b=7.118 c=9.454 alpha=87.89 beta=87.89 gamma=28.86
Atoms (fractional coordinates):
Rb 0.051 0.051 0.008
Mg 0.666 0.666 0.661
Rb 0.294 0.294 0.310
Mg 0.315 0.315 0.826
Mg 0.958 0.958 0.633
Mg 0.550 0.550 0.394

Output
The formation energy comes out at 234.1 meV/atom. The value obtained for the volume is 38.51 A^3/atom.

A plane-wave DFT calculation with PBE-GGA was carried out for an optimized crystal structure of RbMg3.

Unit cell a=8.601 b=8.601 c=8.601 alpha=140.05 beta=140.05 gamma=57.78
Atoms (fractional coordinates):
Mg 0.750 0.250 0.500
Mg 0.250 0.750 0.500
Mg 0.000 0.500 0.500
Mg 0.500 0.000 0.500
Rb 0.370 0.370 0.000
Rb 0.630 0.630 0.000
Mg 0.111 0.111 0.000
Mg 0.889 0.889 0.000

Output
For the offset from the most stable computed form, the calculation gives 0.137 eV per atom. The formation energy comes out at 323.7 meV/atom. The value obtained for the volume is 32.51 A^3/atom.

A plane-wave DFT calculation with PBE-GGA was carried out for an optimized crystal structure of Rb3Mg.

Unit cell a=10.589 b=10.589 c=5.121 alpha=90.00 beta=90.00 gamma=93.40
Atoms (fractional coordinates):
Rb 0.076 0.325 0.750
Rb 0.924 0.675 0.250
Mg 0.059 0.941 0.750
Rb 0.675 0.924 0.750
Mg 0.941 0.059 0.250
Rb 0.645 0.355 0.750
Rb 0.355 0.645 0.250
Rb 0.325 0.076 0.250

Output
The formation energy comes out at 131.9 meV/atom. The value obtained for the volume is 71.65 A^3/atom.

A plane-wave DFT calculation with PBE-GGA was carried out for an optimized crystal structure of Rb3Mg.

Unit cell a=4.723 b=4.723 c=12.352 alpha=90.00 beta=90.00 gamma=90.00
Atoms (fractional coordinates):
Rb 0.500 0.500 0.750
Rb 0.000 0.000 0.060
Mg 0.500 0.500 0.250
Rb 0.000 0.000 0.440

Output
The formation energy comes out at 154.0 meV/atom. The value obtained for the volume is 68.87 A^3/atom.

A plane-wave DFT calculation with PBE-GGA was carried out for an optimized crystal structure of Rb3Mg2.

Unit cell a=6.459 b=6.459 c=8.277 alpha=90.00 beta=90.00 gamma=120.00
Atoms (fractional coordinates):
Mg 0.333 0.667 0.895
Rb 0.333 0.667 0.358
Rb 0.667 0.333 0.642
Mg 0.667 0.333 0.105
Rb 0.000 0.000 0.000

Output
For the offset from the most stable computed form, the calculation gives 0.000 eV per atom. The formation energy comes out at 247.0 meV/atom. The value obtained for the volume is 59.81 A^3/atom.